1) The following is a DFT calculation (PBE-GGA) of crystalline Pm7Y2Ho3 at its relaxed geometry.

Properties
Crystal system ... orthorhombic
Density ... 6.88 g cm⁻³
Fermi-level density of states ... 22.31 states/eV/f.u.
Space group ... Cmmm

abc: 3.6193 5.9144 19.2564
angles: 98.83 90.00 90.00
Closest atoms and distances in Å follow each position.
Sites, in units of the cell vectors:
Pm 0.0000 0.7307 0.4615  4 Pm 3.30-3.62, 3 Y 3.51-3.59, 2 Ho 3.53
Pm 0.5000 0.9082 0.8164  8 Pm 3.54-3.93, 2 Y 3.72, 2 Ho 3.72
Pm 0.0000 0.5730 0.1460  4 Ho 3.31-3.48, 6 Pm 3.54-3.62
Pm 0.0000 0.2693 0.5385  4 Pm 3.30-3.62, 3 Y 3.51-3.59, 2 Ho 3.53
Pm 0.0000 0.4270 0.8540  4 Ho 3.31-3.48, 6 Pm 3.54-3.62
Pm 0.0000 0.0000 0.0000  4 Ho 3.47, 2 Pm 3.62
Pm 0.5000 0.0918 0.1836  8 Pm 3.54-3.93, 2 Y 3.72, 2 Ho 3.72
Ho 0.5000 0.6511 0.3023  6 Pm 3.48-3.72, 4 Y 3.60, 2 Ho 3.62
Ho 0.5000 0.5000 0.0000  8 Pm 3.31-3.47, 2 Ho 3.62
Ho 0.5000 0.3489 0.6977  6 Pm 3.48-3.72, 4 Y 3.60, 2 Ho 3.62
Y 0.0000 0.8229 0.6459  5 Pm 3.51-3.72, 4 Ho 3.60, 2 Y 3.62
Y 0.0000 0.1771 0.3541  5 Pm 3.51-3.72, 4 Ho 3.60, 2 Y 3.62



2) The following is a DFT calculation (PBE-GGA) of crystalline Pm7Y2Ho3 at its relaxed geometry.

Properties
Crystal system ... monoclinic
Density ... 7.00 g cm⁻³
Fermi-level density of states ... 17.88 states/eV/f.u.
Space group ... P2/m

abc: 3.5593 6.4425 18.0708
angles: 75.17 90.00 90.00
Closest atoms and distances in Å follow each position.
Sites, in units of the cell vectors:
Pm 0.5000 0.0557 0.1707  1 Y 3.49, 8 Pm 3.56-3.68, 3 Ho 3.63-3.65
Pm 0.0000 0.4410 0.8339  2 Y 3.54, 7 Pm 3.56-3.68, 3 Ho 3.59-3.69
Pm 0.0000 0.0000 0.0000  8 Pm 3.56-3.66, 4 Ho 3.68
Pm 0.5000 0.2378 0.5041  2 Pm 3.11-3.34, 2 Y 3.39-3.45
Pm 0.5000 0.7622 0.4959  2 Pm 3.11-3.34, 2 Y 3.39-3.45
Pm 0.5000 0.9443 0.8293  1 Y 3.49, 8 Pm 3.56-3.68, 3 Ho 3.63-3.65
Pm 0.0000 0.5590 0.1661  2 Y 3.54, 7 Pm 3.56-3.68, 3 Ho 3.59-3.69
Ho 0.5000 0.5000 0.0000  2 Ho 3.56, 10 Pm 3.59-3.68
Ho 0.0000 0.8873 0.6592  2 Ho 3.56, 7 Pm 3.59-3.71, 4 Y 3.64-3.73
Ho 0.0000 0.1127 0.3408  2 Ho 3.56, 7 Pm 3.59-3.71, 4 Y 3.64-3.73
Y 0.5000 0.6122 0.3294  5 Pm 3.39-3.54, 2 Y 3.56, 4 Ho 3.64-3.73
Y 0.5000 0.3878 0.6706  5 Pm 3.39-3.54, 2 Y 3.56, 4 Ho 3.64-3.73



Which structure is the most stable? The one labeled 2).



1) The following is a DFT calculation (PBE-GGA) of crystalline Pm5YHo at its relaxed geometry.

Properties
Crystal system ... monoclinic
Density ... 6.76 g cm⁻³
Fermi-level density of states ... 10.48 states/eV/f.u.
Space group ... C2/c

abc: 6.1848 9.3477 8.9877
angles: 86.31 78.79 70.68
Closest atoms and distances in Å follow each position.
Sites, in units of the cell vectors:
Pm 0.7646 0.6938 0.0365  4 Pm 3.32-3.52, 1 Ho 3.47, 1 Y 3.59
Pm 0.1425 0.7149 0.2500  6 Pm 3.36-3.62, 2 Y 3.37
Pm 0.9835 0.6286 0.6463  7 Pm 3.32-3.62, 1 Ho 3.62, 1 Y 3.66
Pm 0.2354 0.3062 0.9635  4 Pm 3.32-3.52, 1 Ho 3.47, 1 Y 3.59
Pm 0.5416 0.6938 0.4635  4 Pm 3.32-3.52, 1 Ho 3.47, 1 Y 3.59
Pm 0.8575 0.2851 0.7500  6 Pm 3.36-3.62, 2 Y 3.37
Pm 0.3880 0.6286 0.8537  7 Pm 3.32-3.62, 1 Ho 3.62, 1 Y 3.66
Pm 0.4584 0.3062 0.5365  4 Pm 3.32-3.52, 1 Ho 3.47, 1 Y 3.59
Pm 0.6120 0.3714 0.1463  7 Pm 3.32-3.62, 1 Ho 3.62, 1 Y 3.66
Pm 0.0165 0.3714 0.3537  7 Pm 3.32-3.62, 1 Ho 3.62, 1 Y 3.66
Y 0.0000 0.0000 0.0000  6 Pm 3.37-3.66, 2 Ho 3.46
Y 0.0000 0.0000 0.5000  6 Pm 3.37-3.66, 2 Ho 3.46
Ho 0.5110 0.9780 0.7500  2 Y 3.46, 6 Pm 3.47-3.75
Ho 0.4890 0.0220 0.2500  2 Y 3.46, 6 Pm 3.47-3.75



2) The following is a DFT calculation (PBE-GGA) of crystalline Pm5YHo at its relaxed geometry.

Properties
Crystal system ... orthorhombic
Density ... 5.17 g cm⁻³
Fermi-level density of states ... 12.15 states/eV/f.u.
Space group ... Immm

abc: 5.9044 8.0495 8.0495
angles: 66.19 68.48 68.48
Closest atoms and distances in Å follow each position.
Sites, in units of the cell vectors:
Pm 0.5000 0.8229 0.1771  1 Ho 2.84, 1 Pm 3.11
Pm 0.7471 0.2529 0.2529  1 Ho 3.00, 1 Y 3.07
Pm 0.5000 0.1771 0.8229  1 Ho 2.84, 1 Pm 3.11
Pm 0.0000 0.5000 0.5000  2 Ho 2.95
Pm 0.2529 0.7471 0.7471  1 Ho 3.00, 1 Y 3.07
Ho 0.5000 0.5000 0.5000  6 Pm 2.84-3.00
Y 0.0000 0.0000 0.0000  6 Pm 3.07-3.34



Which structure is the most stable? The one labeled 1).



1) The following is a DFT calculation (PBE-GGA) of crystalline Pm5Y12Ho2 at its relaxed geometry.

Properties
Crystal system ... monoclinic
Density ... 5.54 g cm⁻³
Fermi-level density of states ... 26.14 states/eV/f.u.
Space group ... C2/m

abc: 9.3770 9.1109 8.6918
angles: 91.71 90.00 120.97
Closest atoms and distances in Å follow each position.
Sites, in units of the cell vectors:
Y 0.9254 0.8508 0.1254  3 Y 3.25-3.54, 2 Pm 3.42-3.53, 2 Ho 3.47
Y 0.8193 0.2578 0.6672  5 Y 3.41-3.57, 4 Pm 3.42-3.79, 1 Ho 3.59
Y 0.0308 0.7035 0.7626  1 Ho 3.35, 4 Y 3.36-3.72, 4 Pm 3.55-3.71
Y 0.5614 0.7422 0.3328  5 Y 3.41-3.57, 4 Pm 3.42-3.79, 1 Ho 3.59
Y 0.0746 0.1492 0.8746  3 Y 3.25-3.54, 2 Pm 3.42-3.53, 2 Ho 3.47
Y 0.9692 0.2965 0.2374  1 Ho 3.35, 4 Y 3.36-3.72, 4 Pm 3.55-3.71
Y 0.5572 0.1145 0.3333  2 Pm 3.40-3.64, 2 Ho 3.41, 7 Y 3.41-3.55
Y 0.3273 0.2965 0.2374  1 Ho 3.35, 4 Y 3.36-3.72, 4 Pm 3.55-3.71
Y 0.4428 0.8855 0.6667  2 Pm 3.40-3.64, 2 Ho 3.41, 7 Y 3.41-3.55
Y 0.1807 0.7422 0.3328  5 Y 3.41-3.57, 4 Pm 3.42-3.79, 1 Ho 3.59
Y 0.4386 0.2578 0.6672  5 Y 3.41-3.57, 4 Pm 3.42-3.79, 1 Ho 3.59
Y 0.6727 0.7035 0.7626  1 Ho 3.35, 4 Y 3.36-3.72, 4 Pm 3.55-3.71
Ho 0.6725 0.0000 0.0000  1 Ho 3.24, 8 Y 3.35-3.59, 2 Pm 3.59
Ho 0.3275 0.0000 0.0000  1 Ho 3.24, 8 Y 3.35-3.59, 2 Pm 3.59
Pm 0.0000 0.0000 0.5000  10 Y 3.42-3.79, 2 Pm 3.63
Pm 0.2300 0.4600 0.5713  8 Y 3.40-3.64, 2 Pm 3.63-3.67
Pm 0.7700 0.5400 0.4287  8 Y 3.40-3.64, 2 Pm 3.63-3.67
Pm 0.7052 0.4103 0.0193  8 Y 3.53-3.70, 2 Ho 3.59, 1 Pm 3.67
Pm 0.2948 0.5897 0.9807  8 Y 3.53-3.70, 2 Ho 3.59, 1 Pm 3.67



2) The following is a DFT calculation (PBE-GGA) of crystalline Pm5Y12Ho2 at its relaxed geometry.

Properties
Crystal system ... triclinic
Density ... 5.69 g cm⁻³
Fermi-level density of states ... 28.32 states/eV/f.u.
Space group ... P-1

abc: 6.2088 11.3282 15.6377
angles: 142.91 109.37 79.46
Closest atoms and distances in Å follow each position.
Sites, in units of the cell vectors:
Y 0.3154 0.4751 0.8687  7 Y 3.57-3.60, 1 Ho 3.58, 4 Pm 3.58-3.60
Y 0.4736 0.2107 0.5524  5 Pm 3.58-3.59, 7 Y 3.58-3.60
Y 0.3695 0.0530 0.7644  4 Pm 3.57-3.60, 7 Y 3.57-3.61, 1 Ho 3.57
Y 0.1058 0.1572 0.2883  6 Y 3.57-3.61, 2 Ho 3.57-3.58, 4 Pm 3.57-3.61
Y 0.8942 0.8428 0.7117  6 Y 3.57-3.61, 2 Ho 3.57-3.58, 4 Pm 3.57-3.61
Y 0.2104 0.3141 0.0787  3 Ho 3.55-3.58, 3 Pm 3.57-3.59, 6 Y 3.57-3.59
Y 0.6305 0.9470 0.2356  4 Pm 3.57-3.60, 7 Y 3.57-3.61, 1 Ho 3.57
Y 0.6846 0.5249 0.1313  7 Y 3.57-3.60, 1 Ho 3.58, 4 Pm 3.58-3.60
Y 0.5264 0.7893 0.4476  5 Pm 3.58-3.59, 7 Y 3.58-3.60
Y 0.9485 0.4231 0.6064  7 Y 3.57-3.61, 4 Pm 3.57-3.60, 1 Ho 3.58
Y 0.0515 0.5769 0.3936  7 Y 3.57-3.61, 4 Pm 3.57-3.60, 1 Ho 3.58
Y 0.7896 0.6859 0.9213  3 Ho 3.55-3.58, 3 Pm 3.57-3.59, 6 Y 3.57-3.59
Pm 0.8436 0.2639 0.8163  2 Pm 3.57-3.59, 10 Y 3.58-3.60
Pm 0.5784 0.3664 0.3402  2 Ho 3.56-3.57, 9 Y 3.57-3.61, 1 Pm 3.62
Pm 0.1564 0.7361 0.1837  2 Pm 3.57-3.59, 10 Y 3.58-3.60
Pm 0.4216 0.6336 0.6598  2 Ho 3.56-3.57, 9 Y 3.57-3.61, 1 Pm 3.62
Pm 0.0000 0.0000 0.5000  10 Y 3.58-3.60, 2 Pm 3.59
Ho 0.7363 0.1039 0.0259  8 Y 3.55-3.58, 2 Pm 3.56-3.57, 2 Ho 3.57-3.58
Ho 0.2637 0.8961 0.9741  8 Y 3.55-3.58, 2 Pm 3.56-3.57, 2 Ho 3.57-3.58



Which structure is the most stable? The one labeled 2).



1) The following is a DFT calculation (PBE-GGA) of crystalline Pm12Y5Ho2 at its relaxed geometry.

Properties
Crystal system ... monoclinic
Density ... 6.39 g cm⁻³
Fermi-level density of states ... 27.11 states/eV/f.u.
Space group ... C2/m

abc: 7.1166 8.7534 11.7196
angles: 109.18 107.68 90.00
Closest atoms and distances in Å follow each position.
Sites, in units of the cell vectors:
Pm 0.8563 0.9365 0.7127  6 Pm 3.53-3.72, 2 Ho 3.56, 3 Y 3.57-3.67
Pm 0.6372 0.6147 0.7883  1 Ho 3.39, 4 Y 3.40-3.52, 6 Pm 3.46-3.79
Pm 0.5464 0.2058 0.5997  7 Pm 3.47-3.72, 4 Y 3.54-3.67
Pm 0.8489 0.3853 0.2117  1 Ho 3.39, 4 Y 3.40-3.52, 6 Pm 3.46-3.79
Pm 0.1437 0.0635 0.2873  6 Pm 3.53-3.72, 2 Ho 3.56, 3 Y 3.57-3.67
Pm 0.9467 0.7942 0.4003  7 Pm 3.47-3.72, 4 Y 3.54-3.67
Pm 0.1511 0.6147 0.7883  1 Ho 3.39, 4 Y 3.40-3.52, 6 Pm 3.46-3.79
Pm 0.4520 0.3061 0.9041  5 Pm 3.33-3.69, 1 Y 3.48, 2 Ho 3.65
Pm 0.3628 0.3853 0.2117  1 Ho 3.39, 4 Y 3.40-3.52, 6 Pm 3.46-3.79
Pm 0.4536 0.7942 0.4003  7 Pm 3.47-3.72, 4 Y 3.54-3.67
Pm 0.5480 0.6939 0.0959  5 Pm 3.33-3.69, 1 Y 3.48, 2 Ho 3.65
Pm 0.0533 0.2058 0.5997  7 Pm 3.47-3.72, 4 Y 3.54-3.67
Ho 0.7433 0.0000 0.0000  6 Pm 3.39-3.65, 2 Ho 3.46-3.65, 2 Y 3.61
Ho 0.2567 0.0000 0.0000  6 Pm 3.39-3.65, 2 Ho 3.46-3.65, 2 Y 3.61
Y 0.0000 0.5000 0.0000  4 Pm 3.40
Y 0.2490 0.4907 0.4979  9 Pm 3.50-3.67, 3 Y 3.53-3.56
Y 0.7510 0.5093 0.5021  9 Pm 3.50-3.67, 3 Y 3.53-3.56
Y 0.6501 0.0970 0.3003  9 Pm 3.47-3.66, 1 Y 3.53, 2 Ho 3.61
Y 0.3499 0.9030 0.6997  9 Pm 3.47-3.66, 1 Y 3.53, 2 Ho 3.61



2) The following is a DFT calculation (PBE-GGA) of crystalline Pm12Y5Ho2 at its relaxed geometry.

Properties
Crystal system ... monoclinic
Density ... 6.53 g cm⁻³
Fermi-level density of states ... 27.67 states/eV/f.u.
Space group ... C2/m

abc: 11.7473 10.6959 6.2365
angles: 100.32 90.00 123.31
Closest atoms and distances in Å follow each position.
Sites, in units of the cell vectors:
Y 0.3236 0.6472 0.1387  9 Pm 3.44-3.84, 2 Y 3.54-3.73
Y 0.6764 0.3528 0.8613  9 Pm 3.44-3.84, 2 Y 3.54-3.73
Y 0.0000 0.0000 0.5000  6 Pm 3.39-3.46
Y 0.7836 0.5671 0.4448  8 Pm 3.46-3.71, 3 Y 3.54-3.81
Y 0.2164 0.4329 0.5552  8 Pm 3.46-3.71, 3 Y 3.54-3.81
Pm 0.8545 0.2073 0.6173  1 Ho 3.33, 5 Pm 3.39-3.68, 3 Y 3.44-3.62
Pm 0.1455 0.7927 0.3827  1 Ho 3.33, 5 Pm 3.39-3.68, 3 Y 3.44-3.62
Pm 0.8808 0.7617 0.9976  4 Y 3.39-3.59, 4 Pm 3.42-3.76, 2 Ho 3.46
Pm 0.4524 0.3928 0.1977  5 Pm 3.39-3.64, 3 Y 3.46-3.71, 1 Ho 3.47
Pm 0.0596 0.6072 0.8023  5 Pm 3.39-3.64, 3 Y 3.46-3.71, 1 Ho 3.47
Pm 0.1192 0.2383 0.0024  4 Y 3.39-3.59, 4 Pm 3.42-3.76, 2 Ho 3.46
Pm 0.6472 0.7927 0.3827  1 Ho 3.33, 5 Pm 3.39-3.68, 3 Y 3.44-3.62
Pm 0.9404 0.3928 0.1977  5 Pm 3.39-3.64, 3 Y 3.46-3.71, 1 Ho 3.47
Pm 0.3528 0.2073 0.6173  1 Ho 3.33, 5 Pm 3.39-3.68, 3 Y 3.44-3.62
Pm 0.5476 0.6072 0.8023  5 Pm 3.39-3.64, 3 Y 3.46-3.71, 1 Ho 3.47
Pm 0.4454 0.8908 0.7259  6 Pm 3.55-3.92, 2 Ho 3.62, 2 Y 3.71-3.84
Pm 0.5546 0.1092 0.2741  6 Pm 3.55-3.92, 2 Ho 3.62, 2 Y 3.71-3.84
Ho 0.2319 0.0000 0.0000  8 Pm 3.33-3.62
Ho 0.7681 0.0000 0.0000  8 Pm 3.33-3.62



Which structure is the most stable? The one labeled 2).